Ce3YS4 | PBE | relaxed

- Density: 5.9 Mg/m³
- Energy relative to the elements, uncorrected: -2039 meV/atom
- Symmetry: No. 221

Lattice parameters (Å, degrees): 5.637 5.637 5.637 90.00 90.00 90.00
Element x y z (fractional)
Ce 0.000 0.000 0.500
Ce 0.000 0.500 0.000
Ce 0.500 0.000 0.000
Y 0.500 0.500 0.500
S 0.000 0.000 0.000
S 0.000 0.500 0.500
S 0.500 0.000 0.500
S 0.500 0.500 0.000

---

PmHoNpN3 | PBE | relaxed

- Density: 8.8 Mg/m³
- Energy relative to the elements, uncorrected: -1066 meV/atom
- Symmetry: No. 11

Lattice parameters (Å, degrees): 7.158 3.591 8.724 90.00 98.22 90.00
Element x y z (fractional)
Pm 0.165 0.250 0.134
Pm 0.835 0.750 0.866
Ho 0.371 0.750 0.853
Ho 0.629 0.250 0.147
Np 0.057 0.250 0.595
Np 0.943 0.750 0.405
N 0.102 0.250 0.850
N 0.222 0.750 0.595
N 0.396 0.750 0.120
N 0.604 0.250 0.880
N 0.778 0.250 0.405
N 0.898 0.750 0.150

---

ZnGa8Pt2 | PBE | relaxed

- Density: 8.1 Mg/m³
- ΔH_f (0 K): -0.24 eV/atom
- Symmetry: No. 12

Lattice parameters (Å, degrees): 6.751 6.751 5.100 102.08 102.08 66.80
Element x y z (fractional)
Zn 0.000 0.000 0.000
Ga 0.192 0.599 0.623
Ga 0.193 0.193 0.806
Ga 0.401 0.808 0.377
Ga 0.414 0.414 0.151
Ga 0.586 0.586 0.849
Ga 0.599 0.192 0.623
Ga 0.807 0.807 0.194
Ga 0.808 0.401 0.377
Pt 0.212 0.212 0.324
Pt 0.788 0.788 0.676